Entry A
Density functional theory data (PBE-GGA) for a relaxed LaDy2Y crystal.

Geometry as CIF:
```
data_LaDy2Y
_chemical_formula_sum 'La3 Dy6 Y3'
_symmetry_space_group_name_H-M 'P 1'
_symmetry_Int_Tables_number 1
_symmetry_space_group_name_Hall 'P 1'
_cell_length_a 3.626
_cell_length_b 3.626
_cell_length_c 34.833
_cell_angle_alpha 90.00
_cell_angle_beta 90.00
_cell_angle_gamma 120.00
loop_
_atom_site_label
_atom_site_type_symbol
_atom_site_fract_x
_atom_site_fract_y
_atom_site_fract_z
La1 La 0.000 0.000 0.000
La2 La 0.333 0.667 0.667
La3 La 0.667 0.333 0.333
Dy1 Dy 0.000 0.000 0.418
Dy2 Dy 0.000 0.000 0.581
Dy3 Dy 0.333 0.667 0.085
Dy4 Dy 0.333 0.667 0.248
Dy5 Dy 0.667 0.333 0.751
Dy6 Dy 0.667 0.333 0.915
Y1 Y 0.000 0.000 0.166
Y2 Y 0.333 0.667 0.832
Y3 Y 0.667 0.333 0.499
```

Calculated values
Magnetization = 0.0 μB per formula unit
N(E_F) = 19.75 states/eV per cell
SG = No. 160


Entry B
Density functional theory data (PBE-GGA) for a relaxed LaDy2Y crystal.

Geometry as CIF:
```
data_LaDy2Y
_chemical_formula_sum 'La4 Dy8 Y4'
_symmetry_space_group_name_H-M 'P 1'
_symmetry_Int_Tables_number 1
_symmetry_space_group_name_Hall 'P 1'
_cell_length_a 8.127
_cell_length_b 8.127
_cell_length_c 8.127
_cell_angle_alpha 90.00
_cell_angle_beta 90.00
_cell_angle_gamma 90.00
loop_
_atom_site_label
_atom_site_type_symbol
_atom_site_fract_x
_atom_site_fract_y
_atom_site_fract_z
La1 La 0.000 0.000 0.000
La2 La 0.000 0.500 0.500
La3 La 0.500 0.000 0.500
La4 La 0.500 0.500 0.000
Dy1 Dy 0.250 0.250 0.250
Dy2 Dy 0.250 0.250 0.750
Dy3 Dy 0.250 0.750 0.250
Dy4 Dy 0.250 0.750 0.750
Dy5 Dy 0.750 0.250 0.250
Dy6 Dy 0.750 0.250 0.750
Dy7 Dy 0.750 0.750 0.250
Dy8 Dy 0.750 0.750 0.750
Y1 Y 0.000 0.000 0.500
Y2 Y 0.000 0.500 0.000
Y3 Y 0.500 0.000 0.000
Y4 Y 0.500 0.500 0.500
```

Calculated values
Magnetization = 0.0 μB per formula unit
N(E_F) = 31.27 states/eV per cell
SG = No. 225


Entry C
Density functional theory data (PBE-GGA) for a relaxed LaDy2Y crystal.

Geometry as CIF:
```
data_LaDy2Y
_chemical_formula_sum 'La2 Dy4 Y2'
_symmetry_space_group_name_H-M 'P 1'
_symmetry_Int_Tables_number 1
_symmetry_space_group_name_Hall 'P 1'
_cell_length_a 5.750
_cell_length_b 7.357
_cell_length_c 6.342
_cell_angle_alpha 90.00
_cell_angle_beta 90.00
_cell_angle_gamma 90.00
loop_
_atom_site_label
_atom_site_type_symbol
_atom_site_fract_x
_atom_site_fract_y
_atom_site_fract_z
La1 La 0.250 0.250 0.172
La2 La 0.750 0.750 0.828
Dy1 Dy 0.250 0.000 0.665
Dy2 Dy 0.250 0.500 0.665
Dy3 Dy 0.750 0.000 0.335
Dy4 Dy 0.750 0.500 0.335
Y1 Y 0.250 0.750 0.169
Y2 Y 0.750 0.250 0.831
```

Calculated values
Magnetization = 0.0 μB per formula unit
N(E_F) = 13.26 states/eV per cell
SG = No. 59


Entry D
Density functional theory data (PBE-GGA) for a relaxed LaDy2Y crystal.

Geometry as CIF:
```
data_LaDy2Y
_chemical_formula_sum 'La1 Dy2 Y1'
_symmetry_space_group_name_H-M 'P 1'
_symmetry_Int_Tables_number 1
_symmetry_space_group_name_Hall 'P 1'
_cell_length_a 3.613
_cell_length_b 3.613
_cell_length_c 10.148
_cell_angle_alpha 90.00
_cell_angle_beta 90.00
_cell_angle_gamma 90.00
loop_
_atom_site_label
_atom_site_type_symbol
_atom_site_fract_x
_atom_site_fract_y
_atom_site_fract_z
La1 La 0.000 0.000 0.000
Dy1 Dy 0.500 0.500 0.255
Dy2 Dy 0.500 0.500 0.745
Y1 Y 0.000 0.000 0.500
```

Calculated values
Magnetization = 0.0 μB per formula unit
N(E_F) = 6.48 states/eV per cell
SG = No. 123


Comparing the structures above, entry A comes out on top by 0.018 eV/atom.